The following is a DFT calculation (PBE) of a relaxed CsIn2AgRh crystal.

Cell lengths 5.189, 5.189, 5.613 Å; angles 90.00, 90.00, 90.00 degrees
Space group P4/mmm (No. 123)
Symmetry-distinct sites (fractional):
Cs: 0.000 0.000 0.000 [1 per cell]
In: 0.000 0.500 0.500 [2 per cell]
Ag: 0.500 0.500 0.000 [1 per cell]
Rh: 0.500 0.500 0.500 [1 per cell]

Summary:
- Magnetic moment: 0.000 μB per formula unit
- D(E_F): 2.17 states/eV per cell
- Formation energy from the elements: -0.0713 eV per atom

***

The following is a DFT calculation (PBE) of a relaxed Tb6PrEr6 crystal.

Cell lengths 7.024, 11.116, 11.020 Å; angles 90.00, 90.00, 90.00 degrees
Space group Cmmm (No. 65)
Symmetry-distinct sites (fractional):
Tb: 0.000 0.000 0.164 [4 per cell]
Tb: 0.000 0.265 0.000 [4 per cell]
Tb: 0.000 0.357 0.500 [4 per cell]
Pr: 0.000 0.000 0.500 [2 per cell]
Er: 0.000 0.500 0.199 [4 per cell]
Er: 0.250 0.250 0.273 [8 per cell]

Summary:
- Magnetic moment: 0.000 μB per formula unit
- D(E_F): 41.32 states/eV per cell
- Formation energy from the elements: 0.2175 eV per atom

***

The following is a DFT calculation (PBE) of a relaxed Ho3MgIn4Te8 crystal.

Cell lengths 8.7782, 8.7782, 23.5683 Å; angles 90.00, 90.00, 120.00 degrees
Space group R-3m (No. 166, hexagonal axes)
Symmetry-distinct sites (fractional):
Ho: 0.0000 0.5000 0.0000 [9 per cell]
Mg: 0.0000 0.0000 0.0000 [3 per cell]
In: 0.0000 0.0000 0.5000 [3 per cell]
In: 0.0000 0.5000 0.5000 [9 per cell]
Te: 0.0000 0.0000 0.2586 [6 per cell]
Te: 0.0038 0.5019 0.7399 [18 per cell]

Summary:
- Magnetic moment: 0.000 μB per formula unit
- Uncorrected formation energy: -0.837 eV/atom
- D(E_F): 17.44 states/eV per cell

***

The following is a DFT calculation (PBE) of a relaxed HgTeNO2 crystal.

Cell lengths 4.163, 4.163, 4.334 Å; angles 90.00, 90.00, 90.00 degrees
Space group P4/mmm (No. 123)
Symmetry-distinct sites (fractional):
Hg: 0.000 0.000 0.000 [1 per cell]
Te: 0.500 0.500 0.500 [1 per cell]
N: 0.000 0.000 0.500 [1 per cell]
O: 0.000 0.500 0.000 [2 per cell]

Summary:
- Magnetic moment: 0.000 μB per formula unit
- Uncorrected formation energy: 1.136 eV/atom
- D(E_F): 2.41 states/eV per cell

***

The following is a DFT calculation (PBE) of a relaxed YTiRu3 crystal.

Cell lengths 4.572, 4.572, 4.572 Å; angles 90.00, 90.00, 90.00 degrees
Space group Pm-3m (No. 221)
Symmetry-distinct sites (fractional):
Y: 0.000 0.000 0.000 [1 per cell]
Ti: 0.500 0.500 0.500 [1 per cell]
Ru: 0.000 0.500 0.500 [3 per cell]

Summary:
- E above lowest polymorph: 0 meV per atom
- Magnetic moment: 0.000 μB per formula unit
- D(E_F): 5.19 states/eV per cell
- Formation energy from the elements: 0.3370 eV per atom

***

The following is a DFT calculation (PBE) of a relaxed GdHoTm4 crystal.

Cell lengths 9.204, 9.204, 9.204 Å; angles 90.00, 90.00, 90.00 degrees
Space group F-43m (No. 216)
Symmetry-distinct sites (fractional):
Gd: 0.000 0.000 0.000 [4 per cell]
Ho: 0.250 0.250 0.250 [4 per cell]
Tm: 0.125 0.125 0.625 [16 per cell]

Summary:
- Magnetic moment: 8.786 μB per formula unit
- D(E_F): 45.85 states/eV per cell
- Formation energy from the elements: 0.2472 eV per atom